The following is a PBE calculation of a relaxed Rb3Ce6Cl20 crystal, from the Alexandria database.

Cell and atoms, written as POSCAR:
```
Rb3Ce6Cl20
1.0
-5.6069 -8.8328 -0.0608
-3.9891 -3.7254 8.9257
-10.3237 0.3456 1.6621
Cl Ce Rb
20 6 3
Cartesian
-7.6620 -4.6975 4.0492
-12.2577 -7.5151 6.4779
-8.2251 -1.0031 4.0685
-8.7611 -2.6951 1.0913
-6.9036 0.2311 1.1115
-7.4942 -7.6746 5.7109
-9.5027 -6.4165 8.1677
-3.7494 -5.9066 -0.0407
-1.3215 -1.2342 2.9570
-1.8575 -2.9262 -0.0201
-5.0710 -7.1408 2.9163
-9.6705 -3.4395 6.5059
-7.1695 -5.7921 0.5100
-10.2492 -8.7732 4.0211
-10.4171 -5.7961 2.3593
-2.6676 -2.4912 5.9687
-6.0877 -2.3767 6.5194
-3.4201 0.1145 0.5506
-4.5251 -5.4175 5.9486
-12.4256 -4.5380 4.8161
-11.9941 -4.8321 7.7518
-12.7502 -7.2190 3.5520
-7.1695 -4.9936 6.9750
-7.9256 -7.3805 2.7753
-9.7898 -9.1216 6.9466
-10.1299 -3.0911 3.5804
-4.9799 -3.0532 2.6318
-14.9398 -9.1595 7.8953
0.0000 0.0000 0.0000
```

Results
The calculation puts the total magnetization at 7.000 μB/cell. As for the uncorrected formation energy: -2.14 eV/atom. The volume comes out at 809.8 Å³ per cell.